[1]
# RbCa2Rh

A geometry-optimized RbCa2Rh structure (PBE-GGA, Alexandria via LeMat-Bulk).

**Total magnetic moment**: 0.00 μB/f.u.
**ΔE_f**: 22.0 kJ per mole of atoms
**Total energy**: -2.853 eV per atom

Geometry as CIF:
```
data_RbCa2Rh
_cell_length_a 7.729
_cell_length_b 7.729
_cell_length_c 7.729
_cell_angle_alpha 90.00
_cell_angle_beta 90.00
_cell_angle_gamma 90.00
_space_group_name_H-M_alt 'F m -3 m'
_space_group_IT_number 225
_space_group_name_Hall '-F 4 2 3'
loop_
_atom_site_label
_atom_site_type_symbol
_atom_site_fract_x
_atom_site_fract_y
_atom_site_fract_z
Rb1 Rb 0.000 0.000 0.000
Ca1 Ca 0.250 0.250 0.250
Rh1 Rh 0.000 0.000 0.500
```

=====

[2]
# Ho2AlRh2

A geometry-optimized Ho2AlRh2 structure (PBE-GGA, Alexandria via LeMat-Bulk).

**Total magnetic moment**: 0.00 μB/f.u.
**ΔE_f**: -88.4 kJ per mole of atoms
**Total energy**: -6.436 eV per atom

Geometry as CIF:
```
data_Ho2AlRh2
_cell_length_a 10.122
_cell_length_b 5.447
_cell_length_c 7.542
_cell_angle_alpha 90.00
_cell_angle_beta 104.64
_cell_angle_gamma 90.00
_space_group_name_H-M_alt 'C 1 2/c 1'
_space_group_IT_number 15
loop_
_space_group_symop_operation_xyz
'x,y,z'
'-x,-y,-z'
'-x,y,-z+1/2'
'x,-y,z+1/2'
'x+1/2,y+1/2,z'
'-x+1/2,-y+1/2,-z'
'-x+1/2,y+1/2,-z+1/2'
'x+1/2,-y+1/2,z+1/2'
loop_
_atom_site_label
_atom_site_type_symbol
_atom_site_fract_x
_atom_site_fract_y
_atom_site_fract_z
Ho1 Ho 0.147 0.144 0.149
Al1 Al 0.000 0.365 0.750
Rh1 Rh 0.131 0.363 0.507
```

=====

[3]
# La2CeAgS5

A geometry-optimized La2CeAgS5 structure (PBE-GGA, Alexandria via LeMat-Bulk).

**Total magnetic moment**: 0.81 μB/f.u.
**E_form (uncorrected)**: -1.75 eV per atom
**Total energy**: -6.111 eV per atom

Geometry as CIF:
```
data_La2CeAgS5
_cell_length_a 4.069
_cell_length_b 16.809
_cell_length_c 12.382
_cell_angle_alpha 90.00
_cell_angle_beta 90.00
_cell_angle_gamma 90.00
_space_group_name_H-M_alt 'C m c 21'
_space_group_IT_number 36
loop_
_space_group_symop_operation_xyz
'x,y,z'
'-x,-y,z+1/2'
'-x,y,z'
'x,-y,z+1/2'
'x+1/2,y+1/2,z'
'-x+1/2,-y+1/2,z+1/2'
'-x+1/2,y+1/2,z'
'x+1/2,-y+1/2,z+1/2'
loop_
_atom_site_label
_atom_site_type_symbol
_atom_site_fract_x
_atom_site_fract_y
_atom_site_fract_z
La1 La 0.000 0.116 0.000
La2 La 0.000 0.124 0.620
Ce1 Ce 0.000 0.191 0.317
Ag1 Ag 0.000 0.483 0.791
S1 S 0.000 0.043 0.400
S2 S 0.000 0.294 0.977
S3 S 0.000 0.305 0.657
S4 S 0.000 0.356 0.316
S5 S 0.000 0.499 0.593
```

=====

[4]
# Ba2Ag2I

A geometry-optimized Ba2Ag2I structure (PBE-GGA, Alexandria via LeMat-Bulk).

**Total magnetic moment**: 0.00 μB/f.u.
**E_form (uncorrected)**: -0.57 eV per atom
**Total energy**: -2.791 eV per atom

Geometry as CIF:
```
data_Ba2Ag2I
_cell_length_a 9.242
_cell_length_b 9.242
_cell_length_c 4.284
_cell_angle_alpha 90.00
_cell_angle_beta 90.00
_cell_angle_gamma 90.00
_space_group_name_H-M_alt 'P 4/m b m'
_space_group_IT_number 127
_space_group_name_Hall '-P 4 2ab'
loop_
_atom_site_label
_atom_site_type_symbol
_atom_site_fract_x
_atom_site_fract_y
_atom_site_fract_z
Ba1 Ba 0.182 0.318 0.000
Ag1 Ag 0.108 0.608 0.500
I1 I 0.000 0.000 0.500
```

=====

[5]
# ErUBiO6

A geometry-optimized ErUBiO6 structure (PBE-GGA, Alexandria via LeMat-Bulk).

**Total magnetic moment**: 0.00 μB/f.u.
**E_form (uncorrected)**: -2.72 eV per atom
**Total energy**: -8.215 eV per atom

Geometry as CIF:
```
data_ErUBiO6
_cell_length_a 5.8067
_cell_length_b 5.8067
_cell_length_c 9.5744
_cell_angle_alpha 90.00
_cell_angle_beta 90.00
_cell_angle_gamma 120.00
_space_group_name_H-M_alt 'P -3 1 c'
_space_group_IT_number 163
_space_group_name_Hall '-P 3 2c'
loop_
_atom_site_label
_atom_site_type_symbol
_atom_site_fract_x
_atom_site_fract_y
_atom_site_fract_z
Er1 Er 0.3333 0.6667 0.2500
U1 U 0.3333 0.6667 0.7500
Bi1 Bi 0.0000 0.0000 0.0000
O1 O 0.0200 0.3616 0.6364
```

=====

[6]
# CaPmDyY

A geometry-optimized CaPmDyY structure (PBE-GGA, Alexandria via LeMat-Bulk).

**Total magnetic moment**: 0.00 μB/f.u.
**ΔE_f**: 13.9 kJ per mole of atoms
**Total energy**: -4.311 eV per atom

Geometry as CIF:
```
data_CaPmDyY
_cell_length_a 8.191
_cell_length_b 8.191
_cell_length_c 8.191
_cell_angle_alpha 90.00
_cell_angle_beta 90.00
_cell_angle_gamma 90.00
_space_group_name_H-M_alt 'F -4 3 m'
_space_group_IT_number 216
_space_group_name_Hall 'F -4 2 3'
loop_
_atom_site_label
_atom_site_type_symbol
_atom_site_fract_x
_atom_site_fract_y
_atom_site_fract_z
Ca1 Ca 0.000 0.000 0.000
Pm1 Pm 0.250 0.250 0.250
Dy1 Dy 0.000 0.000 0.500
Y1 Y 0.250 0.250 0.750
```

=====

[7]
# Tb2Si3GePt4

A geometry-optimized Tb2Si3GePt4 structure (PBE-GGA, Alexandria via LeMat-Bulk).

**Total magnetic moment**: 0.00 μB/f.u.
**E_form (uncorrected)**: -1.04 eV per atom
**Total energy**: -6.476 eV per atom

Geometry as CIF:
```
data_Tb2Si3GePt4
_cell_length_a 4.253
_cell_length_b 4.253
_cell_length_c 9.867
_cell_angle_alpha 90.00
_cell_angle_beta 90.00
_cell_angle_gamma 90.00
_space_group_name_H-M_alt 'P -4 m 2'
_space_group_IT_number 115
loop_
_space_group_symop_operation_xyz
'x,y,z'
'y,-x,-z'
'-x,-y,z'
'-y,x,-z'
'-x,y,z'
'-y,-x,-z'
'x,-y,z'
'y,x,-z'
loop_
_atom_site_label
_atom_site_type_symbol
_atom_site_fract_x
_atom_site_fract_y
_atom_site_fract_z
Tb1 Tb 0.000 0.500 0.250
Si1 Si 0.000 0.000 0.000
Si2 Si 0.000 0.500 0.629
Ge1 Ge 0.500 0.500 0.000
Pt1 Pt 0.000 0.000 0.500
Pt2 Pt 0.000 0.500 0.870
Pt3 Pt 0.500 0.500 0.500
```

=====

[8]
# LaZn2Os

A geometry-optimized LaZn2Os structure (PBE-GGA, Alexandria via LeMat-Bulk).

**Total magnetic moment**: 0.00 μB/f.u.
**ΔE_f**: 24.9 kJ per mole of atoms
**Total energy**: -4.418 eV per atom

Geometry as CIF:
```
data_LaZn2Os
_cell_length_a 3.398
_cell_length_b 5.037
_cell_length_c 9.094
_cell_angle_alpha 90.00
_cell_angle_beta 90.00
_cell_angle_gamma 90.00
_space_group_name_H-M_alt 'I m m 2'
_space_group_IT_number 44
loop_
_space_group_symop_operation_xyz
'x,y,z'
'-x,-y,z'
'-x,y,z'
'x,-y,z'
'x+1/2,y+1/2,z+1/2'
'-x+1/2,-y+1/2,z+1/2'
'-x+1/2,y+1/2,z+1/2'
'x+1/2,-y+1/2,z+1/2'
loop_
_atom_site_label
_atom_site_type_symbol
_atom_site_fract_x
_atom_site_fract_y
_atom_site_fract_z
La1 La 0.000 0.000 0.000
Zn1 Zn 0.000 0.000 0.524
Zn2 Zn 0.000 0.500 0.791
Os1 Os 0.000 0.500 0.239
```

=====

[9]
# Pm4AgRu

A geometry-optimized Pm4AgRu structure (PBE-GGA, Alexandria via LeMat-Bulk).

**Total magnetic moment**: 0.00 μB/f.u.
**ΔE_f**: -22.7 kJ per mole of atoms
**Total energy**: -5.424 eV per atom

Geometry as CIF:
```
data_Pm4AgRu
_cell_length_a 13.831
_cell_length_b 13.831
_cell_length_c 13.831
_cell_angle_alpha 90.00
_cell_angle_beta 90.00
_cell_angle_gamma 90.00
_space_group_name_H-M_alt 'F -4 3 m'
_space_group_IT_number 216
_space_group_name_Hall 'F -4 2 3'
loop_
_atom_site_label
_atom_site_type_symbol
_atom_site_fract_x
_atom_site_fract_y
_atom_site_fract_z
Pm1 Pm 0.000 0.000 0.189
Pm2 Pm 0.059 0.250 0.750
Pm3 Pm 0.098 0.098 0.402
Ag1 Ag 0.169 0.169 0.169
Ru1 Ru 0.112 0.112 0.612
```

=====

[10]
# BeZnPb2

A geometry-optimized BeZnPb2 structure (PBE-GGA, Alexandria via LeMat-Bulk).

**Total magnetic moment**: 0.00 μB/f.u.
**ΔE_f**: 41.7 kJ per mole of atoms
**Total energy**: -2.672 eV per atom

Geometry as CIF:
```
data_BeZnPb2
_cell_length_a 3.380
_cell_length_b 4.851
_cell_length_c 11.091
_cell_angle_alpha 90.00
_cell_angle_beta 90.00
_cell_angle_gamma 90.00
_space_group_name_H-M_alt 'I m m 2'
_space_group_IT_number 44
loop_
_space_group_symop_operation_xyz
'x,y,z'
'-x,-y,z'
'-x,y,z'
'x,-y,z'
'x+1/2,y+1/2,z+1/2'
'-x+1/2,-y+1/2,z+1/2'
'-x+1/2,y+1/2,z+1/2'
'x+1/2,-y+1/2,z+1/2'
loop_
_atom_site_label
_atom_site_type_symbol
_atom_site_fract_x
_atom_site_fract_y
_atom_site_fract_z
Be1 Be 0.000 0.000 0.000
Zn1 Zn 0.000 0.500 0.339
Pb1 Pb 0.000 0.000 0.520
Pb2 Pb 0.000 0.500 0.731
```

=====

[11]
# SrScGaFe2

A geometry-optimized SrScGaFe2 structure (PBE-GGA, Alexandria via LeMat-Bulk).

**Total magnetic moment**: 4.45 μB/f.u.
**ΔE_f**: 54.5 kJ per mole of atoms
**Total energy**: -5.028 eV per atom

Geometry as CIF:
```
data_SrScGaFe2
_cell_length_a 4.729
_cell_length_b 4.729
_cell_length_c 5.108
_cell_angle_alpha 90.00
_cell_angle_beta 90.00
_cell_angle_gamma 90.00
_space_group_name_H-M_alt 'P 4/m m m'
_space_group_IT_number 123
_space_group_name_Hall '-P 4 2'
loop_
_atom_site_label
_atom_site_type_symbol
_atom_site_fract_x
_atom_site_fract_y
_atom_site_fract_z
Sr1 Sr 0.000 0.000 0.000
Sc1 Sc 0.500 0.500 0.000
Ga1 Ga 0.500 0.500 0.500
Fe1 Fe 0.000 0.500 0.500
```

=====

[12]
# AlPbS2

A geometry-optimized AlPbS2 structure (PBE-GGA, Alexandria via LeMat-Bulk).

**Total magnetic moment**: 0.00 μB/f.u.
**E_form (uncorrected)**: -0.75 eV per atom
**Total energy**: -4.672 eV per atom

Geometry as CIF:
```
data_AlPbS2
_cell_length_a 10.837
_cell_length_b 9.783
_cell_length_c 16.042
_cell_angle_alpha 90.00
_cell_angle_beta 92.08
_cell_angle_gamma 90.00
_space_group_name_H-M_alt 'C 1 2/c 1'
_space_group_IT_number 15
loop_
_space_group_symop_operation_xyz
'x,y,z'
'-x,-y,-z'
'-x,y,-z+1/2'
'x,-y,z+1/2'
'x+1/2,y+1/2,z'
'-x+1/2,-y+1/2,-z'
'-x+1/2,y+1/2,-z+1/2'
'x+1/2,-y+1/2,z+1/2'
loop_
_atom_site_label
_atom_site_type_symbol
_atom_site_fract_x
_atom_site_fract_y
_atom_site_fract_z
Al1 Al 0.116 0.143 0.165
Al2 Al 0.126 0.392 0.326
Pb1 Pb 0.098 0.283 0.623
Pb2 Pb 0.171 0.004 0.406
S1 S 0.000 0.015 0.250
S2 S 0.000 0.464 0.750
S3 S 0.020 0.262 0.418
S4 S 0.233 0.000 0.089
S5 S 0.247 0.290 0.232
```